Here is an optimized crystal structure of Y2SbP from Alexandria via LeMat-Bulk. Energies are from PBE.

The total energy comes out at -69.607 eV per cell. The raw formation energy is -186 meV/atom. As for the volume: 26.96 A^3/atom. The value obtained for the size of the total moment is 0.72 μB/f.u.

The structure belongs to space group R3m (No. 160, hexagonal axes); the cell edges are 3.6897, 3.6897 and 27.4436 Å and the angles 90.00°, 90.00° and 120.00°. Symmetry generates all atoms from Y at (0.0000, 0.0000, 0.0000), Y at (0.0000, 0.0000, 0.2259), Sb at (0.0000, 0.0000, 0.7579) and P at (0.0000, 0.0000, 0.4907).

=====

Here is an optimized crystal structure of YSbP from Alexandria via LeMat-Bulk. Energies are from PBE.

The total energy comes out at -36.492 eV per cell. The raw formation energy is -750 meV/atom. As for the volume: 26.02 A^3/atom. The value obtained for the size of the total moment is 0.00 μB/f.u. For the energy above the most stable polymorph in this dataset, the calculation gives 0.045 eV/atom.

The structure belongs to space group I4mm (No. 107); the cell edges are 3.846, 3.846 and 10.553 Å and the angles 90.00°, 90.00° and 90.00°. Symmetry generates all atoms from Y at (0.000, 0.000, 0.000), Sb at (0.000, 0.000, 0.314) and P at (0.000, 0.000, 0.559).

=====

Here is an optimized crystal structure of Y4SbP from Alexandria via LeMat-Bulk. Energies are from PBE.

The total energy comes out at -137.581 eV per cell. The raw formation energy is 166 meV/atom. As for the volume: 27.33 A^3/atom. The value obtained for the size of the total moment is 0.00 μB/f.u.

The structure belongs to space group F-43m (No. 216); the cell edges are 8.688, 8.688 and 8.688 Å and the angles 90.00°, 90.00° and 90.00°. Symmetry generates all atoms from Y at (0.125, 0.125, 0.125), Sb at (0.000, 0.000, 0.500) and P at (0.250, 0.250, 0.750).

=====

Here is an optimized crystal structure of Y2SbP from Alexandria via LeMat-Bulk. Energies are from PBE.

The total energy comes out at -82.594 eV per cell. The raw formation energy is -1268 meV/atom. As for the volume: 26.49 A^3/atom. The value obtained for the size of the total moment is 0.00 μB/f.u.

The structure belongs to space group R3m (No. 160, hexagonal axes); the cell edges are 4.1216, 4.1216 and 21.6111 Å and the angles 90.00°, 90.00° and 120.00°. Symmetry generates all atoms from Y at (0.0000, 0.0000, 0.0000), Y at (0.0000, 0.0000, 0.1867), Sb at (0.0000, 0.0000, 0.7606) and P at (0.0000, 0.0000, 0.5914).

=====

Here is an optimized crystal structure of YSb2P from Alexandria via LeMat-Bulk. Energies are from PBE.

The total energy comes out at -22.033 eV per cell. The raw formation energy is -479 meV/atom. As for the volume: 26.63 A^3/atom. The value obtained for the size of the total moment is 0.00 μB/f.u.

The structure belongs to space group Pm (No. 6); the cell edges are 4.573, 4.160 and 5.891 Å and the angles 90.00°, 108.14° and 90.00°. Symmetry generates all atoms from Y at (0.000, 0.000, 0.000), Sb at (0.405, 0.500, 0.809), Sb at (0.609, 0.000, 0.464) and P at (0.814, 0.500, 0.238).

=====

Here is an optimized crystal structure of YSb2P from Alexandria via LeMat-Bulk. Energies are from PBE.

The total energy comes out at -40.400 eV per cell. The raw formation energy is -20 meV/atom. As for the volume: 24.87 A^3/atom. The value obtained for the size of the total moment is 0.00 μB/f.u.

The structure belongs to space group Cmmm (No. 65); the cell edges are 4.224, 5.769 and 8.163 Å and the angles 90.00°, 90.00° and 90.00°. Symmetry generates all atoms from Y at (0.000, 0.000, 0.000), Sb at (0.000, 0.500, 0.272) and P at (0.000, 0.000, 0.500).

=====

Here is an optimized crystal structure of Y2SbP from Alexandria via LeMat-Bulk. Energies are from PBE.

The total energy comes out at -53.837 eV per cell. The raw formation energy is -1115 meV/atom. As for the volume: 26.25 A^3/atom. The value obtained for the size of the total moment is 0.00 μB/f.u.

The structure belongs to space group Amm2 (No. 38); the cell edges are 4.326, 4.036 and 12.028 Å and the angles 90.00°, 90.00° and 90.00°. Symmetry generates all atoms from Y at (0.000, 0.000, 0.000), Y at (0.500, 0.000, 0.268), Sb at (0.500, 0.000, 0.537) and P at (0.000, 0.000, 0.775).

=====

Here is an optimized crystal structure of Y2SbP2 from Alexandria via LeMat-Bulk. Energies are from PBE.

The total energy comes out at -65.505 eV per cell. The raw formation energy is -976 meV/atom. As for the volume: 23.79 A^3/atom. The value obtained for the size of the total moment is 0.00 μB/f.u. For the energy above the most stable polymorph in this dataset, the calculation gives 0.000 eV/atom.

The structure belongs to space group I4/mmm (No. 139); the cell edges are 5.406, 5.406 and 8.138 Å and the angles 90.00°, 90.00° and 90.00°. Symmetry generates all atoms from Y at (0.000, 0.500, 0.250), Sb at (0.000, 0.000, 0.000) and P at (0.000, 0.000, 0.354).

=====

Here is an optimized crystal structure of Y2SbP from Alexandria via LeMat-Bulk. Energies are from PBE.

The total energy comes out at -93.132 eV per cell. The raw formation energy is -206 meV/atom. As for the volume: 23.96 A^3/atom. The value obtained for the size of the total moment is 0.00 μB/f.u.

The structure belongs to space group F-43m (No. 216); the cell edges are 7.265, 7.265 and 7.265 Å and the angles 90.00°, 90.00° and 90.00°. Symmetry generates all atoms from Y at (0.000, 0.000, 0.000), Y at (0.250, 0.250, 0.250), Sb at (0.250, 0.250, 0.750) and P at (0.000, 0.000, 0.500).

=====

Here is an optimized crystal structure of YSbP from Alexandria via LeMat-Bulk. Energies are from PBE.

The total energy comes out at -66.892 eV per cell. The raw formation energy is -242 meV/atom. As for the volume: 28.14 A^3/atom. The value obtained for the size of the total moment is 0.00 μB/f.u. For the energy above the most stable polymorph in this dataset, the calculation gives 0.552 eV/atom.

The structure belongs to space group F-43m (No. 216); the cell edges are 6.964, 6.964 and 6.964 Å and the angles 90.00°, 90.00° and 90.00°. Symmetry generates all atoms from Y at (0.000, 0.000, 0.000), Sb at (0.250, 0.250, 0.250) and P at (0.250, 0.250, 0.750).

=====

Here is an optimized crystal structure of YSb2P from Alexandria via LeMat-Bulk. Energies are from PBE.

The total energy comes out at -21.652 eV per cell. The raw formation energy is -383 meV/atom. As for the volume: 25.07 A^3/atom. The value obtained for the size of the total moment is 0.00 μB/f.u.

The structure belongs to space group P2/m (No. 10); the cell edges are 4.344, 4.098 and 5.859 Å and the angles 90.00°, 105.93° and 90.00°. Symmetry generates all atoms from Y at (0.000, 0.000, 0.000), Sb at (0.420, 0.500, 0.738) and P at (0.000, 0.000, 0.500).

=====

Here is an optimized crystal structure of YSb2P from Alexandria via LeMat-Bulk. Energies are from PBE.

The total energy comes out at -42.926 eV per cell. The raw formation energy is -336 meV/atom. As for the volume: 23.93 A^3/atom. The value obtained for the size of the total moment is 0.00 μB/f.u.

The structure belongs to space group Imm2 (No. 44); the cell edges are 3.895, 5.291 and 9.288 Å and the angles 90.00°, 90.00° and 90.00°. Symmetry generates all atoms from Y at (0.000, 0.000, 0.000), Sb at (0.000, 0.000, 0.535), Sb at (0.000, 0.500, 0.787) and P at (0.000, 0.500, 0.245).

=====

What did the third record say?
Here is an optimized crystal structure of Y4SbP from Alexandria via LeMat-Bulk. Energies are from PBE.

The total energy comes out at -137.581 eV per cell. The raw formation energy is 166 meV/atom. As for the volume: 27.33 A^3/atom. The value obtained for the size of the total moment is 0.00 μB/f.u.

The structure belongs to space group F-43m (No. 216); the cell edges are 8.688, 8.688 and 8.688 Å and the angles 90.00°, 90.00° and 90.00°. Symmetry generates all atoms from Y at (0.125, 0.125, 0.125), Sb at (0.000, 0.000, 0.500) and P at (0.250, 0.250, 0.750).

=====

Copy entry 1 word for word.
Here is an optimized crystal structure of Y2SbP from Alexandria via LeMat-Bulk. Energies are from PBE.

The total energy comes out at -69.607 eV per cell. The raw formation energy is -186 meV/atom. As for the volume: 26.96 A^3/atom. The value obtained for the size of the total moment is 0.72 μB/f.u.

The structure belongs to space group R3m (No. 160, hexagonal axes); the cell edges are 3.6897, 3.6897 and 27.4436 Å and the angles 90.00°, 90.00° and 120.00°. Symmetry generates all atoms from Y at (0.0000, 0.0000, 0.0000), Y at (0.0000, 0.0000, 0.2259), Sb at (0.0000, 0.0000, 0.7579) and P at (0.0000, 0.0000, 0.4907).